Here is a relaxed Te2PN2 crystal from the Alexandria database. Energies are from PBE.

Summary:
Its symmetry is No. 123. The value obtained for the electronic total energy is -4.1945 eV/atom. The value obtained for the relative energy among the computed polymorphs is 100 meV per atom. Its uncorrected formation energy is 711 kJ/mol of formula units.

CIF file:
```
data_Te2PN2
_chemical_formula_sum 'Te2 P1 N2'
_cell_length_a 5.418
_cell_length_b 5.418
_cell_length_c 3.232
_cell_angle_alpha 90.00
_cell_angle_beta 90.00
_cell_angle_gamma 90.00
_symmetry_space_group_name_H-M 'P 1'
_symmetry_Int_Tables_number 1
loop_
_symmetry_equiv_pos_as_xyz
'x,y,z'
loop_
_atom_site_label
_atom_site_fract_x
_atom_site_fract_y
_atom_site_fract_z
_atom_site_occupancy
P1 0.000 0.000 0.000 1
Te1 0.000 0.500 0.000 1
Te2 0.500 0.000 0.000 1
N1 0.500 0.500 0.500 1
N2 0.000 0.000 0.500 1
```